Compound: TaMn2Cd
Source: the Alexandria database
Functional: PBE
Structure: relaxed

Output
ΔH_f (0 K) = 314 meV per atom
Size of the total moment = 4.30 μB per formula unit
DOS(E_F) = 3.8 states/eV per cell
DFT total energy = -7.4627 eV/atom

Unit cell a=5.0881 b=5.0881 c=5.0881 alpha=135.86 beta=135.86 gamma=64.20
Element x y z (fractional)
Ta 0.0000 0.0000 0.0000
Mn 0.5000 0.5000 0.0000
Mn 0.7500 0.2500 0.5000
Cd 0.2500 0.7500 0.5000